(1)
Here is LiFe6Ge6 at its PBEsol-relaxed geometry from the Alexandria database. Energies are from meta-GGA SCAN.

As for the total moment: 0.91 μB/atom. For the total DFT energy (no corrections), the calculation gives -17.551 eV per atom.

Geometry as extended XYZ:
```
39
Lattice="8.560 0.000 0.000 -4.280 7.414 0.000 0.000 0.000 7.867" Properties=species:S:1:pos:R:3 pbc="T T T"
Li 0.000 0.000 0.000
Li 0.000 4.942 3.933
Li 4.280 2.471 3.933
Fe -2.140 3.707 1.942
Fe -2.140 3.707 5.925
Fe 0.000 2.474 1.981
Fe 0.000 2.474 5.886
Fe -2.138 6.177 1.981
Fe -2.138 6.177 5.886
Fe 2.142 1.237 1.981
Fe 2.142 1.237 5.886
Fe 4.280 0.000 1.942
Fe 4.280 0.000 5.925
Fe 2.140 3.707 1.942
Fe 2.140 3.707 5.925
Fe 2.138 6.177 1.981
Fe 2.138 6.177 5.886
Fe 6.418 1.237 1.981
Fe 6.418 1.237 5.886
Fe 4.280 4.940 1.981
Fe 4.280 4.940 5.886
Ge 0.000 0.000 2.655
Ge 0.000 0.000 5.211
Ge -1.405 2.434 0.000
Ge -1.449 2.509 3.933
Ge -2.832 4.904 3.933
Ge -2.875 4.979 0.000
Ge 2.811 0.000 0.000
Ge 1.405 2.434 0.000
Ge 0.000 4.942 1.286
Ge 0.000 4.942 6.581
Ge 2.897 0.000 3.933
Ge 1.449 2.509 3.933
Ge 5.663 0.000 3.933
Ge 2.832 4.904 3.933
Ge 4.280 2.471 1.286
Ge 4.280 2.471 6.581
Ge 5.750 0.000 0.000
Ge 2.875 4.979 0.000
```

***

(2)
Here is ZrZnSb3 at its PBEsol-relaxed geometry from the Alexandria database. Energies are from meta-GGA SCAN.

As for the total moment: 0.00 μB/atom. For the raw formation energy, the calculation gives 608 meV/atom.

Geometry as extended XYZ:
```
5
Lattice="5.058 0.000 0.000 0.000 5.058 0.000 0.000 0.000 5.058" Properties=species:S:1:pos:R:3 pbc="T T T"
Zr 0.000 0.000 0.000
Zn 2.529 2.529 2.529
Sb 0.000 2.529 2.529
Sb 2.529 0.000 2.529
Sb 2.529 2.529 0.000
```

***

(3)
Here is Tc3HW at its PBEsol-relaxed geometry from the Alexandria database. Energies are from meta-GGA SCAN.

As for the total moment: 0.00 μB/atom. For the total DFT energy (no corrections), the calculation gives -35.584 eV per atom.

Geometry as extended XYZ:
```
5
Lattice="3.906 0.000 0.000 0.000 3.906 0.000 0.000 0.000 3.906" Properties=species:S:1:pos:R:3 pbc="T T T"
Tc 0.000 0.000 1.953
Tc 0.000 1.953 0.000
Tc 1.953 0.000 0.000
H 0.000 0.000 0.000
W 1.953 1.953 1.953
```

***

(4)
Here is LiTe2MoI at its PBEsol-relaxed geometry from the Alexandria database. Energies are from meta-GGA SCAN.

As for the total moment: 0.66 μB/atom. For the raw formation energy, the calculation gives 694 meV/atom. The calculation puts the offset from the most stable computed form at 0.595 eV/atom.

Geometry as extended XYZ:
```
5
Lattice="4.958 0.000 0.000 0.000 4.958 0.000 0.000 0.000 5.239" Properties=species:S:1:pos:R:3 pbc="T T T"
Li 0.000 0.000 0.000
Te 0.000 2.479 0.000
Te 2.479 0.000 0.000
Mo 2.479 2.479 2.620
I 0.000 0.000 2.620
```